(1)
{
  "formula": "NdPd2Au9",
  "functional": "PBE",
  "state": "optimized geometry",
  "lattice_angstrom": [[2.763, 1.595, 9.048], [-2.763, 1.595, 9.048], [0.000, -3.190, 9.048]],
  "species": ["Nd", "Pd", "Pd", "Au", "Au", "Au", "Au", "Au", "Au", "Au", "Au", "Au"],
  "frac_coords": [[0.000, 0.000, 0.000], [0.153, 0.153, 0.153], [0.847, 0.847, 0.847], [0.081, 0.589, 0.589], [0.334, 0.334, 0.334], [0.411, 0.411, 0.919], [0.411, 0.919, 0.411], [0.500, 0.500, 0.500], [0.589, 0.081, 0.589], [0.589, 0.589, 0.081], [0.666, 0.666, 0.666], [0.919, 0.411, 0.411]],
  "space_group": "R-3m",
  "volume_a3_per_atom": 19.9,
  "delta_e_f_ev_per_atom": -0.143
}

---

(2)
{
  "formula": "Ba3SmMg4",
  "functional": "PBE",
  "state": "optimized geometry",
  "lattice_angstrom": [[4.154, 0.000, 0.000], [0.000, 4.154, 0.000], [0.000, 0.000, 17.437]],
  "species": ["Ba", "Ba", "Ba", "Sm", "Mg", "Mg", "Mg", "Mg"],
  "frac_coords": [[0.000, 0.000, 0.000], [0.000, 0.000, 0.267], [0.000, 0.000, 0.733], [0.000, 0.000, 0.500], [0.500, 0.500, 0.133], [0.500, 0.500, 0.404], [0.500, 0.500, 0.596], [0.500, 0.500, 0.867]],
  "space_group": "P4/mmm",
  "volume_a3_per_atom": 37.6,
  "delta_e_f_ev_per_atom": -0.047
}

---

(3)
{
  "formula": "TaTcP2S",
  "functional": "PBE",
  "state": "optimized geometry",
  "lattice_angstrom": [[4.461, 0.000, 0.000], [0.000, 4.461, 0.000], [0.000, 0.000, 4.839]],
  "species": ["Ta", "Tc", "P", "P", "S"],
  "frac_coords": [[0.000, 0.000, 0.000], [0.500, 0.500, 0.500], [0.000, 0.500, 0.500], [0.500, 0.000, 0.500], [0.500, 0.500, 0.000]],
  "space_group": "P4/mmm",
  "volume_a3_per_atom": 19.3,
  "polymorph_energy_mev_per_atom": 145,
  "formation_energy_uncorrected_ev_per_atom": 0.932
}

---

(4)
{
  "formula": "SrInPb2",
  "functional": "PBE",
  "state": "optimized geometry",
  "lattice_angstrom": [[3.590, -4.699, 0.000], [3.590, 4.699, 0.000], [0.000, 0.000, 3.767]],
  "species": ["Sr", "In", "Pb", "Pb"],
  "frac_coords": [[0.000, 0.000, 0.000], [0.500, 0.500, 0.000], [0.000, 0.500, 0.500], [0.500, 0.000, 0.500]],
  "space_group": "Cmmm",
  "volume_a3_per_atom": 31.8,
  "delta_e_f_ev_per_atom": -0.248
}

---

(5)
{
  "formula": "NaSrSb",
  "functional": "PBE",
  "state": "optimized geometry",
  "lattice_angstrom": [[5.075, 0.000, 0.000], [-2.538, 4.395, 0.000], [0.000, 0.000, 4.561]],
  "species": ["Na", "Sr", "Sb"],
  "frac_coords": [[0.000, 0.000, 0.000], [0.667, 0.333, 0.495], [0.333, 0.667, 0.965]],
  "space_group": "P3m1",
  "volume_a3_per_atom": 33.9,
  "formation_energy_uncorrected_ev_per_atom": -0.622
}

---

(6)
{
  "formula": "Gd2ScH4",
  "functional": "PBE",
  "state": "optimized geometry",
  "lattice_angstrom": [[-1.933, 1.933, 6.251], [1.933, -1.933, 6.251], [1.933, 1.933, -6.251]],
  "species": ["Gd", "Gd", "Sc", "H", "H", "H", "H"],
  "frac_coords": [[0.158, 0.158, 0.000], [0.842, 0.842, 0.000], [0.500, 0.500, 0.000], [0.000, 0.500, 0.500], [0.337, 0.337, 0.000], [0.500, 0.000, 0.500], [0.663, 0.663, 0.000]],
  "space_group": "I4/mmm",
  "volume_a3_per_atom": 13.3,
  "dft_energy_ev_per_atom": -7.20
}

---

(7)
{
  "formula": "Pm2HoCl",
  "functional": "PBE",
  "state": "optimized geometry",
  "lattice_angstrom": [[1.823, 1.053, 10.238], [-1.823, 1.053, 10.238], [0.000, -2.105, 10.238]],
  "species": ["Pm", "Pm", "Ho", "Cl"],
  "frac_coords": [[0.240, 0.240, 0.240], [0.760, 0.760, 0.760], [0.000, 0.000, 0.000], [0.500, 0.500, 0.500]],
  "space_group": "R-3m",
  "volume_a3_per_atom": 29.5,
  "formation_energy_uncorrected_ev_per_atom": -0.665
}